Model P:
CeThIn6 (PBE, optimized geometry); space-group type = P-6m2 (187); total moment = 0.86 μB per cell
1.0
6.806 0.000 0.000
-3.403 5.894 0.000
0.000 0.000 5.252
Ce Th In
1 1 6
Cartesian
0.000 0.000 0.000 Ce
3.403 1.965 2.626 Th
-1.597 3.007 0.000 In
0.000 2.056 2.626 In
-1.622 4.866 2.626 In
1.597 3.007 0.000 In
0.000 5.773 0.000 In
1.622 4.866 2.626 In


Model Q:
CeThIn6 (PBE, optimized geometry); space-group type = P4/mmm (123); total moment = 0.88 μB per cell
1.0
4.727 0.000 0.000
0.000 4.727 0.000
0.000 0.000 9.461
Ce Th In
1 1 6
Cartesian
0.000 0.000 0.000 Ce
0.000 0.000 4.731 Th
0.000 2.363 2.334 In
0.000 2.363 7.128 In
2.363 0.000 2.334 In
2.363 0.000 7.128 In
2.363 2.363 0.000 In
2.363 2.363 4.731 In


Stability order, top to bottom: model Q, model P